[1]
A plane-wave DFT calculation with meta-GGA SCAN was carried out for Ce5AgSe8 at its PBEsol-relaxed geometry.

Values from the calculation:
The uncorrected formation energy comes out at -179 kJ per mole of atoms. The space-group type is No. 82.

a b c (Å): 7.544 7.544 7.544
angles (deg): 110.03 110.03 108.36
Fractional coordinates of all 14 atoms:
Ce1 0.000 0.000 0.000
Ce2 0.133 0.511 0.877
Ce3 0.489 0.366 0.623
Ce4 0.634 0.256 0.123
Ce5 0.744 0.867 0.377
Ag1 0.250 0.750 0.500
Se1 0.019 0.259 0.402
Se2 0.222 0.112 0.751
Se3 0.361 0.471 0.249
Se4 0.383 0.981 0.240
Se5 0.529 0.778 0.890
Se6 0.741 0.143 0.760
Se7 0.857 0.617 0.598
Se8 0.888 0.639 0.110


[2]
A plane-wave DFT calculation with meta-GGA SCAN was carried out for Ca2MnRh at its PBEsol-relaxed geometry.

Values from the calculation:
For the energy of formation, the calculation gives -0.896 eV per formula unit. The space-group type is No. 38.

a b c (Å): 3.959 5.862 5.862
angles (deg): 43.69 90.00 90.00
Fractional coordinates of all 4 atoms:
Ca1 0.000 0.000 0.000
Ca2 0.500 0.283 0.283
Mn1 0.000 0.699 0.699
Rh1 0.500 0.574 0.574


[3]
A plane-wave DFT calculation with meta-GGA SCAN was carried out for YMg2Os2 at its PBEsol-relaxed geometry.

Values from the calculation:
For the energy of formation, the calculation gives 0.591 eV per formula unit. The space-group type is No. 139.

a b c (Å): 6.395 6.395 6.395
angles (deg): 141.86 141.86 55.04
Fractional coordinates of all 5 atoms:
Y1 0.000 0.000 0.000
Mg1 0.250 0.750 0.500
Mg2 0.750 0.250 0.500
Os1 0.398 0.398 0.000
Os2 0.602 0.602 0.000


[4]
A plane-wave DFT calculation with meta-GGA SCAN was carried out for Dy2PbS4 at its PBEsol-relaxed geometry.

Values from the calculation:
The uncorrected formation energy comes out at -170 kJ per mole of atoms. The space-group type is No. 122.

a b c (Å): 7.245 7.245 7.245
angles (deg): 109.35 109.35 109.72
Fractional coordinates of all 14 atoms:
Dy1 0.007 0.125 0.382
Dy2 0.375 0.993 0.118
Dy3 0.743 0.625 0.618
Dy4 0.875 0.257 0.882
Pb1 0.250 0.750 0.500
Pb2 0.500 0.500 0.000
S1 0.107 0.513 0.746
S2 0.111 0.017 0.754
S3 0.263 0.357 0.246
S4 0.487 0.233 0.594
S5 0.639 0.893 0.406
S6 0.643 0.889 0.906
S7 0.767 0.361 0.254
S8 0.983 0.737 0.094


[5]
A plane-wave DFT calculation with meta-GGA SCAN was carried out for In2CoMo at its PBEsol-relaxed geometry.

Values from the calculation:
For the energy of formation, the calculation gives 1.652 eV per formula unit. The space-group type is No. 6.

a b c (Å): 2.986 4.231 5.573
angles (deg): 90.00 105.21 90.00
Fractional coordinates of all 4 atoms:
In1 0.000 0.000 0.000
In2 0.335 0.500 0.676
Co1 0.729 0.000 0.445
Mo1 0.610 0.500 0.227


[6]
A plane-wave DFT calculation with meta-GGA SCAN was carried out for YAgPt2 at its PBEsol-relaxed geometry.

Values from the calculation:
For the energy of formation, the calculation gives -3.312 eV per formula unit. The space-group type is No. 119.

a b c (Å): 5.155 5.155 5.155
angles (deg): 133.95 133.95 67.17
Fractional coordinates of all 4 atoms:
Y1 0.000 0.000 0.000
Ag1 0.750 0.250 0.500
Pt1 0.250 0.750 0.500
Pt2 0.500 0.500 0.000


[7]
A plane-wave DFT calculation with meta-GGA SCAN was carried out for AgAuO2 at its PBEsol-relaxed geometry.

Values from the calculation:
The uncorrected formation energy comes out at -25 kJ per mole of atoms. The space-group type is No. 14.

a b c (Å): 5.584 3.883 5.443
angles (deg): 90.00 105.68 90.00
Fractional coordinates of all 8 atoms:
Ag1 0.000 0.000 0.000
Ag2 0.000 0.500 0.500
Au1 0.500 0.000 0.500
Au2 0.500 0.500 0.000
O1 0.299 0.202 0.719
O2 0.299 0.298 0.219
O3 0.701 0.702 0.781
O4 0.701 0.798 0.281


[8]
A plane-wave DFT calculation with meta-GGA SCAN was carried out for MnHg2Se at its PBEsol-relaxed geometry.

Values from the calculation:
The uncorrected formation energy comes out at 13 kJ per mole of atoms. The space-group type is No. 47.

a b c (Å): 2.893 3.522 7.824
angles (deg): 90.00 90.00 90.00
Fractional coordinates of all 4 atoms:
Mn1 0.000 0.000 0.000
Hg1 0.500 0.500 0.226
Hg2 0.500 0.500 0.774
Se1 0.000 0.000 0.500